1.
The following is a DFT calculation (PBE) of a relaxed structure of Tb4Sm3Zn4.

abc: 9.1808 9.1808 9.1808
angles: 147.70 134.12 57.22
With the nearest neighbours (Å) after each atom.
Element x y z (fractional)
Tb 0.0508 0.8227 0.2282  4 Zn 2.93-3.04, 1 Tb 3.27
Tb 0.4055 0.1773 0.2282  4 Zn 2.93-3.04, 1 Tb 3.27
Tb 0.5945 0.8227 0.7718  4 Zn 2.93-3.04, 1 Tb 3.27
Tb 0.9492 0.1773 0.7718  4 Zn 2.93-3.04, 1 Tb 3.27
Sm 0.0000 0.5000 0.5000  2 Zn 3.02
Sm 0.3966 0.3966 0.0000  4 Zn 3.31, 1 Sm 3.33, 4 Tb 3.42
Sm 0.6034 0.6034 0.0000  4 Zn 3.31, 1 Sm 3.33, 4 Tb 3.42
Zn 0.1871 0.6871 0.5000  6 Tb 2.93-3.04, 1 Sm 3.02
Zn 0.3210 0.0000 0.3210  1 Zn 2.56
Zn 0.6790 0.0000 0.6790  1 Zn 2.56
Zn 0.8129 0.3129 0.5000  6 Tb 2.93-3.04, 1 Sm 3.02

Total magnetic moment (μB/atom): 0.00
ΔE_f (kJ/mol of atoms): -12

=====

2.
The following is a DFT calculation (PBE) of a relaxed structure of TaZnHg.

abc: 4.5186 4.5186 3.0219
angles: 90.00 90.00 120.00
With the nearest neighbours (Å) after each atom.
Element x y z (fractional)
Ta 0.0000 0.0000 0.0000  6 Hg 3.01, 6 Zn 3.01, 2 Ta 3.02
Zn 0.3333 0.6667 0.5000  3 Hg 2.61
Hg 0.6667 0.3333 0.5000  3 Zn 2.61

Total magnetic moment (μB/atom): 0.00
ΔE_f (kJ/mol of atoms): 36
Energy relative to the lowest polymorph listed for this composition (meV per atom): 170

=====

3.
The following is a DFT calculation (PBE) of a relaxed structure of Hf3UTc4.

abc: 3.3123 4.7226 9.0799
angles: 90.00 90.00 90.00
With the nearest neighbours (Å) after each atom.
Element x y z (fractional)
Hf 0.0000 0.0000 0.0000  8 Tc 2.88-2.91, 4 Hf 3.22
Hf 0.0000 0.5000 0.2407  8 Tc 2.74-2.89
Hf 0.0000 0.5000 0.7593  8 Tc 2.74-2.89
U 0.0000 0.0000 0.5000  8 Tc 2.71-2.88
Tc 0.5000 0.0000 0.2637  2 U 2.71, 6 Hf 2.89-2.91
Tc 0.5000 0.0000 0.7363  2 U 2.71, 6 Hf 2.89-2.91
Tc 0.5000 0.5000 0.0000  8 Hf 2.74-2.88
Tc 0.5000 0.5000 0.5000  4 Hf 2.88, 4 U 2.88, 4 Tc 3.19

Total magnetic moment (μB/atom): 0.00
ΔE_f (kJ/mol of atoms): -42

=====

4.
The following is a DFT calculation (PBE) of a relaxed structure of Ac2GaHg2.

abc: 6.3904 6.3904 12.0352
angles: 115.52 115.52 44.14
With the nearest neighbours (Å) after each atom.
Element x y z (fractional)
Ac 0.0196 0.0196 0.3439  7 Hg 3.36-3.64, 4 Ga 3.40-3.65
Ac 0.1902 0.1902 0.1112  6 Hg 3.32-3.54, 2 Ga 3.51
Ac 0.8098 0.8098 0.8888  6 Hg 3.32-3.54, 2 Ga 3.51
Ac 0.9804 0.9804 0.6561  7 Hg 3.36-3.64, 4 Ga 3.40-3.65
Ga 0.2805 0.2805 0.6641  3 Hg 2.81-2.88
Ga 0.7195 0.7195 0.3359  3 Hg 2.81-2.88
Hg 0.3491 0.3491 0.4376  2 Ga 2.81
Hg 0.4733 0.4733 0.1171  1 Ga 2.88, 1 Hg 3.16
Hg 0.5267 0.5267 0.8829  1 Ga 2.88, 1 Hg 3.16
Hg 0.6509 0.6509 0.5624  2 Ga 2.81

Total magnetic moment (μB/atom): 0.00
ΔE_f (kJ/mol of atoms): -46

=====

5.
The following is a DFT calculation (PBE) of a relaxed structure of KBaOs2.

abc: 3.9828 3.9828 5.4830
angles: 90.00 90.00 90.00
With the nearest neighbours (Å) after each atom.
Element x y z (fractional)
K 0.0000 0.0000 0.0000  4 Ba 2.82
Ba 0.5000 0.5000 0.0000  4 K 2.82
Os 0.0000 0.5000 0.5000  4 Os 2.82
Os 0.5000 0.0000 0.5000  4 Os 2.82

Total magnetic moment (μB/atom): 0.00
ΔE_f (kJ/mol of atoms): 143
Energy relative to the lowest polymorph listed for this composition (meV per atom): 1033

=====

6.
The following is a DFT calculation (PBE) of a relaxed structure of CsHfI2O.

abc: 6.2645 6.2645 4.0514
angles: 90.00 90.00 90.00
With the nearest neighbours (Å) after each atom.
Element x y z (fractional)
Cs 0.0000 0.0000 0.0000  8 I 3.73, 2 Cs 4.05
Hf 0.5000 0.5000 0.5000  2 O 2.03
I 0.0000 0.5000 0.5000  2 Hf 3.13
I 0.5000 0.0000 0.5000  2 Hf 3.13
O 0.5000 0.5000 0.0000  2 Hf 2.03

Total magnetic moment (μB/atom): 0.16
Energy relative to the elements, uncorrected (eV/atom): -1.49
Energy relative to the lowest polymorph listed for this composition (meV per atom): 0

=====

7.
The following is a DFT calculation (PBE) of a relaxed structure of In2BAu.

abc: 7.1349 7.1349 7.1349
angles: 131.89 131.89 70.40
With the nearest neighbours (Å) after each atom.
Element x y z (fractional)
In 0.0344 0.6250 0.9094  2 B 2.26
In 0.3750 0.2844 0.4094  2 B 2.26
In 0.7156 0.1250 0.0906  2 B 2.26
In 0.8750 0.9656 0.5906  2 B 2.26
B 0.0000 0.0000 0.0000  4 In 2.26
B 0.7500 0.2500 0.5000  4 In 2.26
Au 0.2500 0.7500 0.5000  4 In 2.86
Au 0.5000 0.5000 0.0000  4 In 2.86

Total magnetic moment (μB/atom): 0.00
ΔE_f (kJ/mol of atoms): 47

=====

8.
The following is a DFT calculation (PBE) of a relaxed structure of La2AlHPt6.

abc: 5.7775 5.7775 7.0053
angles: 114.25 114.25 59.99
With the nearest neighbours (Å) after each atom.
Element x y z (fractional)
La 0.2226 0.2226 0.1669  7 Pt 3.02-3.38
La 0.7774 0.7774 0.8331  7 Pt 3.02-3.38
Al 0.5000 0.5000 0.0000  6 Pt 2.52-2.53
H 0.0000 0.0000 0.5000  6 Pt 2.05-2.06
Pt 0.2313 0.7267 0.6904  1 H 2.05
Pt 0.2317 0.2317 0.6914  1 H 2.06
Pt 0.2733 0.7687 0.3096  1 H 2.05
Pt 0.7267 0.2313 0.6904  1 H 2.05
Pt 0.7683 0.7683 0.3086  1 H 2.06
Pt 0.7687 0.2733 0.3096  1 H 2.05

Total magnetic moment (μB/atom): 0.00
E_tot (eV/atom): -6.22

=====

9.
The following is a DFT calculation (PBE) of a relaxed structure of Ac5Rh2Pb.

abc: 9.5230 9.5230 9.5230
angles: 127.22 127.22 77.89
With the nearest neighbours (Å) after each atom.
Element x y z (fractional)
Ac 0.0000 0.0000 0.0000  4 Rh 3.25
Ac 0.0261 0.5261 0.8188  3 Rh 3.08-3.24
Ac 0.2072 0.0261 0.5000  3 Rh 3.08-3.24
Ac 0.2928 0.7928 0.8188  3 Rh 3.08-3.24
Ac 0.4739 0.2928 0.5000  3 Rh 3.08-3.24
Ac 0.5000 0.5000 0.0000  4 Rh 3.25
Ac 0.5261 0.7072 0.5000  3 Rh 3.08-3.24
Ac 0.7072 0.2072 0.1812  3 Rh 3.08-3.24
Ac 0.7928 0.9739 0.5000  3 Rh 3.08-3.24
Ac 0.9739 0.4739 0.1812  3 Rh 3.08-3.24
Rh 0.1432 0.3568 0.5000  8 Ac 3.08-3.25, 1 Rh 3.43
Rh 0.3568 0.8568 0.2136  8 Ac 3.08-3.25, 1 Rh 3.43
Rh 0.6432 0.1432 0.7864  8 Ac 3.08-3.25, 1 Rh 3.43
Rh 0.8568 0.6432 0.5000  8 Ac 3.08-3.25, 1 Rh 3.43
Pb 0.2500 0.2500 0.0000  10 Ac 3.62-3.70
Pb 0.7500 0.7500 0.0000  10 Ac 3.62-3.70

Total magnetic moment (μB/atom): 0.00
ΔE_f (kJ/mol of atoms): -53

=====

10.
The following is a DFT calculation (PBE) of a relaxed structure of TlIn2Bi2Pb4.

abc: 6.0945 6.9513 7.6524
angles: 102.78 98.19 107.21
With the nearest neighbours (Å) after each atom.
Element x y z (fractional)
Tl 0.0000 0.0000 0.0000  2 In 3.36, 6 Pb 3.40-3.59, 2 Bi 3.51
In 0.2024 0.3996 0.3872  1 Tl 3.36, 6 Pb 3.36-3.59, 2 Bi 3.38-3.42, 2 In 3.50-3.63
In 0.7976 0.6004 0.6128  1 Tl 3.36, 6 Pb 3.36-3.59, 2 Bi 3.38-3.42, 2 In 3.50-3.63
Bi 0.3930 0.3028 0.7911  6 Pb 3.35-3.60, 2 In 3.38-3.42, 1 Bi 3.50, 1 Tl 3.51
Bi 0.6070 0.6972 0.2089  6 Pb 3.35-3.60, 2 In 3.38-3.42, 1 Bi 3.50, 1 Tl 3.51
Pb 0.2000 0.8828 0.3871  3 In 3.36-3.59, 1 Tl 3.40, 3 Bi 3.41-3.52, 4 Pb 3.47-3.73
Pb 0.3794 0.7834 0.7987  3 Bi 3.35-3.60, 3 In 3.36-3.51, 3 Pb 3.47-3.60, 2 Tl 3.47-3.59
Pb 0.6206 0.2166 0.2013  3 Bi 3.35-3.60, 3 In 3.36-3.51, 3 Pb 3.47-3.60, 2 Tl 3.47-3.59
Pb 0.8000 0.1172 0.6129  3 In 3.36-3.59, 1 Tl 3.40, 3 Bi 3.41-3.52, 4 Pb 3.47-3.73

Total magnetic moment (μB/atom): 0.00
ΔE_f (kJ/mol of atoms): 5

=====

11.
The following is a DFT calculation (PBE) of a relaxed structure of HoSc3Zn2.

abc: 3.3702 3.3702 11.5173
angles: 90.00 90.00 90.00
With the nearest neighbours (Å) after each atom.
Element x y z (fractional)
Ho 0.0000 0.0000 0.0000  4 Ho 3.37, 8 Sc 3.42
Sc 0.5000 0.5000 0.2125  4 Zn 2.90
Sc 0.5000 0.5000 0.5000  8 Zn 2.90
Sc 0.5000 0.5000 0.7875  4 Zn 2.90
Zn 0.0000 0.0000 0.3562  8 Sc 2.90
Zn 0.0000 0.0000 0.6438  8 Sc 2.90

Total magnetic moment (μB/atom): 0.00
ΔE_f (kJ/mol of atoms): -22
Energy relative to the lowest polymorph listed for this composition (meV per atom): 16

=====

12.
The following is a DFT calculation (PBE) of a relaxed structure of LaCeRuPb.

abc: 3.4519 3.4519 8.7030
angles: 90.00 90.00 90.00
With the nearest neighbours (Å) after each atom.
Element x y z (fractional)
La 0.0000 0.0000 0.0000  4 Ru 3.11, 4 La 3.45
Ce 0.0000 0.0000 0.5929  4 Ru 2.93
Ru 0.5000 0.5000 0.7791  4 Ce 2.93, 4 La 3.11
Pb 0.5000 0.5000 0.3022  4 Pb 3.45, 4 Ce 3.52, 4 La 3.59

Total magnetic moment (μB/atom): 0.08
ΔE_f (kJ/mol of atoms): -37